Record 1
VASP calculation (PBE) on an optimized crystal structure of Nd3PbC.

Unit cell a=5.8887 b=5.8887 c=5.8887 alpha=90.00 beta=90.00 gamma=90.00
Last column: nearest neighbours and their distance in Å.
Fractional coordinates of all 5 atoms:
Nd  0.0000  0.5000  0.5000  2 Pb 2.94
Nd  0.5000  0.5000  0.0000  2 Pb 2.94
Nd  0.5000  0.0000  0.5000  2 Pb 2.94
Pb  0.5000  0.5000  0.5000  6 Nd 2.94
C  0.0000  0.0000  0.0000  12 Nd 4.16

Values from the calculation:
- D(E_F) (states/eV per atom) = 0.66
- formation energy from the elements (kJ/mol of formula units) = 755
- excess energy over the best structure of this formula in the dataset (meV/atom) = 1968
- ρ (g cm⁻³) = 5.302
- total moment (μB/f.u.) = 0.0

Record 2
VASP calculation (PBE) on an optimized crystal structure of KHg3Pt.

Unit cell a=3.2096 b=7.4106 c=7.4106 alpha=131.62 beta=90.00 gamma=90.00
Last column: nearest neighbours and their distance in Å.
Fractional coordinates of all 5 atoms:
K  0.5000  0.0306  0.9694  2 K 3.21, 2 Hg 3.51
Hg  0.5000  0.0174  0.4865  2 Pt 2.84, 4 Hg 3.01-3.16
Hg  0.5000  0.5135  0.9826  2 Pt 2.84, 4 Hg 3.01-3.16
Hg  0.0000  0.4330  0.5670  1 Pt 2.71
Pt  0.0000  0.6336  0.3664  5 Hg 2.71-2.84

Values from the calculation:
- D(E_F) (states/eV per atom) = 0.22
- formation energy from the elements (kJ/mol of formula units) = -24
- excess energy over the best structure of this formula in the dataset (meV/atom) = 219
- ρ (g cm⁻³) = 10.534
- total moment (μB/f.u.) = 0.0

Record 3
VASP calculation (PBE) on an optimized crystal structure of CuPb2O3.

Unit cell a=3.9743 b=3.7254 c=7.1709 alpha=105.06 beta=106.09 gamma=90.00
Last column: nearest neighbours and their distance in Å.
Fractional coordinates of all 6 atoms:
Cu  0.5000  0.3031  0.0000  4 O 1.94-1.99
Pb  0.8524  0.5675  0.7048  3 O 2.43
Pb  0.1476  0.8627  0.2952  3 O 2.43
O  0.0000  0.3303  0.0000  2 Cu 1.99
O  0.3539  0.1936  0.7078  1 Cu 1.94
O  0.6461  0.4858  0.2922  1 Cu 1.94

Values from the calculation:
- D(E_F) (states/eV per atom) = 0.17
- E_form (uncorrected) (kcal/mol of atoms) = -19.15
- ρ (g cm⁻³) = 8.892
- total moment (μB/f.u.) = 0.0

Record 4
VASP calculation (PBE) on an optimized crystal structure of NpSc5Rh6.

Unit cell a=4.5508 b=6.7283 c=7.1962 alpha=90.00 beta=71.57 gamma=90.00
Last column: nearest neighbours and their distance in Å.
Fractional coordinates of all 12 atoms:
Np  0.0000  0.0000  0.0000  8 Rh 2.85
Sc  0.6679  0.5000  0.6642  8 Rh 2.79-2.82
Sc  0.3299  0.0000  0.3401  8 Rh 2.81-2.89
Sc  0.0000  0.5000  0.0000  8 Rh 2.81-2.82
Sc  0.6701  0.0000  0.6599  8 Rh 2.81-2.89
Sc  0.3321  0.5000  0.3358  8 Rh 2.79-2.82
Rh  0.8330  0.7454  0.3341  7 Sc 2.79-2.85, 1 Np 2.85
Rh  0.8330  0.2546  0.3341  7 Sc 2.79-2.85, 1 Np 2.85
Rh  0.5000  0.2552  0.0000  6 Sc 2.81-2.89, 2 Np 2.85
Rh  0.5000  0.7448  0.0000  6 Sc 2.81-2.89, 2 Np 2.85
Rh  0.1670  0.7454  0.6659  7 Sc 2.79-2.85, 1 Np 2.85
Rh  0.1670  0.2546  0.6659  7 Sc 2.79-2.85, 1 Np 2.85

Values from the calculation:
- D(E_F) (states/eV per atom) = 0.76
- formation energy from the elements (kJ/mol of formula units) = -992
- ρ (g cm⁻³) = 8.573
- total moment (μB/f.u.) = 3.5

Record 5
VASP calculation (PBE) on an optimized crystal structure of La4GaHg.

Unit cell a=7.7666 b=7.5048 c=7.4683 alpha=90.00 beta=90.27 gamma=90.00
Last column: nearest neighbours and their distance in Å.
Fractional coordinates of all 12 atoms:
La  0.8493  0.6492  0.1588  1 Ga 3.01, 2 Hg 3.12-3.16
La  0.6507  0.1492  0.8412  1 Ga 3.01, 2 Hg 3.12-3.16
La  0.3303  0.3375  0.3518  2 Ga 3.05-3.06, 1 Hg 3.19
La  0.1697  0.8375  0.6482  2 Ga 3.05-3.06, 1 Hg 3.19
La  0.1507  0.3508  0.8412  1 Ga 3.01, 2 Hg 3.12-3.16
La  0.3493  0.8508  0.1588  1 Ga 3.01, 2 Hg 3.12-3.16
La  0.6697  0.6625  0.6482  2 Ga 3.05-3.06, 1 Hg 3.19
La  0.8303  0.1625  0.3518  2 Ga 3.05-3.06, 1 Hg 3.19
Ga  0.5000  0.0000  0.5000  6 La 3.01-3.06
Ga  0.0000  0.5000  0.5000  6 La 3.01-3.06
Hg  0.0000  0.0000  0.0000  6 La 3.12-3.19
Hg  0.5000  0.5000  0.0000  6 La 3.12-3.19

Values from the calculation:
- D(E_F) (states/eV per atom) = 1.56
- formation energy from the elements (kJ/mol of formula units) = -100
- excess energy over the best structure of this formula in the dataset (meV/atom) = 45
- ρ (g cm⁻³) = 6.301
- total moment (μB/f.u.) = 0.0

Record 6
VASP calculation (PBE) on an optimized crystal structure of In3SiSn.

Unit cell a=5.6034 b=5.6034 c=5.6034 alpha=90.00 beta=90.00 gamma=90.00
Last column: nearest neighbours and their distance in Å.
Fractional coordinates of all 5 atoms:
Si  0.5000  0.5000  0.5000  12 In 3.96
Sn  0.0000  0.0000  0.0000  6 In 2.80
In  0.0000  0.5000  0.0000  2 Sn 2.80
In  0.0000  0.0000  0.5000  2 Sn 2.80
In  0.5000  0.0000  0.0000  2 Sn 2.80

Values from the calculation:
- D(E_F) (states/eV per atom) = 0.73
- E_form (uncorrected) (kcal/mol of atoms) = 20.26
- excess energy over the best structure of this formula in the dataset (meV/atom) = 484
- ρ (g cm⁻³) = 4.637
- total moment (μB/f.u.) = 1.1

Record 7
VASP calculation (PBE) on an optimized crystal structure of LiMnAl2.

Unit cell a=4.5370 b=4.5370 c=5.0423 alpha=82.75 beta=82.75 gamma=35.08
Last column: nearest neighbours and their distance in Å.
Fractional coordinates of all 4 atoms:
Al  0.9931  0.9931  0.0138  3 Li 2.63-2.79, 3 Mn 2.65-2.66, 4 Al 2.73-2.76
Al  0.5069  0.5069  0.4862  3 Li 2.63-2.79, 3 Mn 2.65-2.66, 4 Al 2.73-2.76
Li  0.7500  0.7500  0.7500  6 Al 2.63-2.79, 2 Li 2.73, 4 Mn 2.87
Mn  0.2500  0.2500  0.2500  6 Al 2.65-2.66, 2 Mn 2.73, 4 Li 2.87

Values from the calculation:
- D(E_F) (states/eV per atom) = 0.66
- formation energy from the elements (kJ/mol of formula units) = -9
- ρ (g cm⁻³) = 3.253
- total moment (μB/f.u.) = 2.6

Record 8
VASP calculation (PBE) on an optimized crystal structure of BaLi2GaAg.

Unit cell a=5.1482 b=5.1482 c=4.9973 alpha=90.00 beta=90.00 gamma=90.00
Last column: nearest neighbours and their distance in Å.
Fractional coordinates of all 5 atoms:
Ga  0.0000  0.0000  0.5000  2 Ag 2.50
Ba  0.5000  0.5000  0.5000  8 Li 3.59, 4 Ga 3.64
Ag  0.0000  0.0000  0.0000  2 Ga 2.50, 4 Li 2.57
Li  0.0000  0.5000  0.0000  2 Ag 2.57
Li  0.5000  0.0000  0.0000  2 Ag 2.57

Values from the calculation:
- D(E_F) (states/eV per atom) = 0.60
- formation energy from the elements (kJ/mol of formula units) = -60
- excess energy over the best structure of this formula in the dataset (meV/atom) = 18
- ρ (g cm⁻³) = 4.122
- total moment (μB/f.u.) = 0.0

Record 9
VASP calculation (PBE) on an optimized crystal structure of YTiPd3.

Unit cell a=4.7191 b=4.7191 c=4.7191 alpha=90.00 beta=90.00 gamma=90.00
Last column: nearest neighbours and their distance in Å.
Fractional coordinates of all 5 atoms:
Y  0.5000  0.5000  0.5000  12 Pd 3.34
Pd  0.0000  0.5000  0.0000  2 Ti 2.36
Pd  0.0000  0.0000  0.5000  2 Ti 2.36
Pd  0.5000  0.0000  0.0000  2 Ti 2.36
Ti  0.0000  0.0000  0.0000  6 Pd 2.36

Values from the calculation:
- D(E_F) (states/eV per atom) = 0.69
- formation energy from the elements (kJ/mol of formula units) = -90
- excess energy over the best structure of this formula in the dataset (meV/atom) = 0
- ρ (g cm⁻³) = 7.206
- total moment (μB/f.u.) = 0.0

Record 10
VASP calculation (PBE) on an optimized crystal structure of TeAs2Ir.

Unit cell a=6.4920 b=6.4920 c=6.7889 alpha=61.44 beta=61.44 gamma=90.00
Last column: nearest neighbours and their distance in Å.
Fractional coordinates of all 8 atoms:
As  0.6903  0.1250  0.2500  2 Ir 2.37
As  0.0597  0.6250  0.2500  2 Ir 2.37
As  0.3750  0.3097  0.7500  2 Ir 2.37
As  0.8750  0.9403  0.7500  2 Ir 2.37
Ir  0.0000  0.0000  0.0000  4 As 2.37
Ir  0.7500  0.2500  0.5000  4 As 2.37
Te  0.5000  0.5000  0.0000  4 As 2.90
Te  0.2500  0.7500  0.5000  4 As 2.90

Values from the calculation:
- D(E_F) (states/eV per atom) = 0.70
- E_form (uncorrected) (kcal/mol of atoms) = 3.09
- ρ (g cm⁻³) = 7.399
- total moment (μB/f.u.) = 0.0